Record 1
Density functional theory data (PBE-GGA) for an optimized crystal structure of ZrIrN2.

abc: 10.421 3.084 7.354
angles: 90.00 127.75 90.00
Element x y z (fractional)
Zr 0.000 0.000 0.000
Zr 0.099 0.500 0.635
Zr 0.500 0.500 0.000
Zr 0.599 0.000 0.635
Ir 0.268 0.000 0.473
Ir 0.325 0.000 0.156
Ir 0.768 0.500 0.473
Ir 0.825 0.500 0.156
N 0.026 0.000 0.350
N 0.162 0.500 0.001
N 0.305 0.000 0.840
N 0.433 0.500 0.637
N 0.526 0.500 0.350
N 0.662 0.000 0.001
N 0.805 0.500 0.840
N 0.933 0.000 0.637

Summary:
Symmetry: Cm
Formation energy from raw total energies: -2.05 eV/f.u.
Energy relative to the lowest polymorph listed for this composition: 27 meV/atom
Calculated total energy: -144.43 eV for the cell shown
Total magnetic moment: 0.00 μB/f.u.

=====

Record 2
Density functional theory data (PBE-GGA) for an optimized crystal structure of ZrIrN2.

abc: 3.086 5.594 5.937
angles: 107.68 99.06 91.58
Element x y z (fractional)
Zr 0.000 0.000 0.000
Zr 0.127 0.592 0.332
Ir 0.503 0.513 0.860
Ir 0.701 0.084 0.559
N 0.211 0.302 0.529
N 0.546 0.308 0.105
N 0.582 0.818 0.182
N 0.707 0.747 0.636

Summary:
Symmetry: P1
Formation energy from raw total energies: -1.91 eV/f.u.
Energy relative to the lowest polymorph listed for this composition: 62 meV/atom
Calculated total energy: -71.94 eV for the cell shown
Total magnetic moment: 0.00 μB/f.u.

=====

Record 3
Density functional theory data (PBE-GGA) for an optimized crystal structure of Zr8Ir2N3.

abc: 7.167 7.167 6.007
angles: 105.60 105.60 54.91
Element x y z (fractional)
Zr 0.102 0.102 0.395
Zr 0.135 0.652 0.102
Zr 0.348 0.865 0.898
Zr 0.394 0.394 0.550
Zr 0.606 0.606 0.450
Zr 0.652 0.135 0.102
Zr 0.865 0.348 0.898
Zr 0.898 0.898 0.605
Ir 0.260 0.260 0.805
Ir 0.740 0.740 0.195
N 0.000 0.000 0.000
N 0.236 0.764 0.500
N 0.764 0.236 0.500

Summary:
Symmetry: C2/m
Formation energy from raw total energies: -11.34 eV/f.u.
Calculated total energy: -122.42 eV for the cell shown
Total magnetic moment: 0.00 μB/f.u.